LiTe2As: relaxed, PBEsol.

abc: 4.043 4.043 6.098
angles: 90.00 90.00 90.00
Positions (direct):
Li 0.000 0.000 0.000
Te 0.000 0.000 0.473
Te 0.500 0.500 0.983
As 0.500 0.500 0.561

Values from the calculation:
SG = P4mm (99)
ΔE_f (raw) = -34 kJ per mole of atoms
Raw total energy = -15.54 eV per cell

LiTiAs2: relaxed, PBEsol.

abc: 4.493 4.493 4.493
angles: 60.00 60.00 60.00
Positions (direct):
Li 0.000 0.000 0.000
Ti 0.500 0.500 0.500
As 0.250 0.250 0.250
As 0.750 0.750 0.750

Values from the calculation:
SG = Fm-3m (225)
ΔH_f (0 K) = -0.442 eV/atom
Raw total energy = -22.27 eV per cell

Li2TlAs: relaxed, PBEsol.

abc: 3.220 3.220 7.036
angles: 90.00 90.00 90.00
Positions (direct):
Li 0.000 0.000 0.203
Li 0.000 0.000 0.797
Tl 0.500 0.500 0.500
As 0.500 0.500 0.000

Values from the calculation:
SG = P4/mmm (123)
ΔH_f (0 K) = -0.352 eV/atom
Raw total energy = -13.08 eV per cell

LiTl2As2: relaxed, PBEsol.

abc: 6.844 6.844 4.986
angles: 90.00 90.00 90.00
Positions (direct):
Li 0.000 0.000 0.000
Li 0.500 0.500 0.000
Tl 0.183 0.317 0.500
Tl 0.317 0.817 0.500
Tl 0.683 0.183 0.500
Tl 0.817 0.683 0.500
As 0.125 0.625 0.000
As 0.375 0.125 0.000
As 0.625 0.875 0.000
As 0.875 0.375 0.000

Values from the calculation:
SG = P4/mbm (127)
ΔH_f (0 K) = -0.102 eV/atom
Raw total energy = -35.90 eV per cell

Li2TlAs: relaxed, PBEsol.

abc: 5.270 5.270 5.270
angles: 134.04 134.04 67.02
Positions (direct):
Li 0.000 0.000 0.000
Li 0.750 0.250 0.500
Tl 0.500 0.500 0.000
As 0.250 0.750 0.500

Values from the calculation:
SG = I-4m2 (119)
ΔH_f (0 K) = -0.336 eV/atom
Raw total energy = -13.01 eV per cell

Li3TlAs: relaxed, PBEsol.

abc: 4.791 4.791 4.791
angles: 90.00 90.00 90.00
Positions (direct):
Li 0.000 0.000 0.500
Li 0.000 0.500 0.000
Li 0.500 0.000 0.000
Tl 0.500 0.500 0.500
As 0.000 0.000 0.000

Values from the calculation:
SG = Pm-3m (221)
ΔH_f (0 K) = -0.309 eV/atom
Raw total energy = -15.18 eV per cell

Li2TlAs: relaxed, PBEsol.

abc: 4.388 4.388 6.141
angles: 98.34 98.34 41.60
Positions (direct):
Li 0.236 0.236 0.186
Li 0.764 0.764 0.814
Tl 0.000 0.000 0.500
As 0.500 0.500 0.000

Values from the calculation:
SG = C2/m (12)
ΔH_f (0 K) = -0.341 eV/atom
Raw total energy = -13.03 eV per cell

Li2Tl2As: relaxed, PBEsol.

abc: 6.681 6.681 4.763
angles: 90.00 90.00 90.00
Positions (direct):
Li 0.158 0.342 0.000
Li 0.342 0.842 0.000
Li 0.658 0.158 0.000
Li 0.842 0.658 0.000
Tl 0.173 0.673 0.500
Tl 0.327 0.173 0.500
Tl 0.673 0.827 0.500
Tl 0.827 0.327 0.500
As 0.000 0.000 0.000
As 0.500 0.500 0.000

Values from the calculation:
SG = P4/mbm (127)
ΔH_f (0 K) = -0.238 eV/atom
Raw total energy = -30.98 eV per cell